Entry 1:
This record from the Alexandria database describes an optimized crystal structure of LiYMgPb. The functional is PBE.

## Properties
Total magnetic moment: 0.0 μB/f.u.
N(E_F): 0.233 states/eV/atom
Density: 5.485 g/cm³
Energy of formation from the pure elements: -1.0 eV per formula unit

Unit cell a=7.346 b=7.346 c=7.346 alpha=90.00 beta=90.00 gamma=90.00
Space group F-43m (No. 216)
One atom of each set of equivalent atoms:
Li 0.000 0.000 0.000 (multiplicity 4)
Y 0.000 0.000 0.500 (multiplicity 4)
Mg 0.250 0.250 0.250 (multiplicity 4)
Pb 0.250 0.250 0.750 (multiplicity 4)



Entry 2:
This record from the Alexandria database describes an optimized crystal structure of NaLiRh2. The functional is PBE.

## Properties
Offset from the most stable computed form: 0.0 meV per atom
Total magnetic moment: 1.2 μB/f.u.
N(E_F): 0.925 states/eV/atom
Density: 5.880 g/cm³
Energy of formation from the pure elements: 1.4 eV per formula unit

Unit cell a=3.705 b=3.705 c=19.399 alpha=90.00 beta=90.00 gamma=90.00
Space group I-42d (No. 122)
One atom of each set of equivalent atoms:
Na 0.000 0.000 0.000 (multiplicity 4)
Li 0.000 0.000 0.500 (multiplicity 4)
Rh 0.235 0.750 0.625 (multiplicity 8)



Entry 3:
This record from the Alexandria database describes an optimized crystal structure of SnPd2C. The functional is PBE.

## Properties
Offset from the most stable computed form: 470.7 meV per atom
Total magnetic moment: 0.0 μB/f.u.
N(E_F): 0.755 states/eV/atom
Density: 9.342 g/cm³
Energy of formation from the pure elements: 3.7 eV per formula unit

Unit cell a=6.251 b=6.251 c=6.251 alpha=90.00 beta=90.00 gamma=90.00
Space group Fm-3m (No. 225)
One atom of each set of equivalent atoms:
Sn 0.000 0.000 0.000 (multiplicity 4)
Pd 0.250 0.250 0.250 (multiplicity 8)
C 0.000 0.000 0.500 (multiplicity 4)



Entry 4:
This record from the Alexandria database describes an optimized crystal structure of Ca2PPb. The functional is PBE.

## Properties
Offset from the most stable computed form: 110.9 meV per atom
Total magnetic moment: 0.0 μB/f.u.
N(E_F): 0.635 states/eV/atom
Density: 4.800 g/cm³
Energy of formation from the pure elements: -2.3 eV per formula unit

Unit cell a=3.768 b=4.748 c=12.312 alpha=90.00 beta=90.00 gamma=90.00
Space group Imm2 (No. 44)
One atom of each set of equivalent atoms:
Ca 0.000 0.000 0.000 (multiplicity 2)
Ca 0.000 0.500 0.206 (multiplicity 2)
P 0.000 0.500 0.686 (multiplicity 2)
Pb 0.000 0.000 0.392 (multiplicity 2)



Entry 5:
This record from the Alexandria database describes an optimized crystal structure of SrAcAgAu. The functional is PBE.

## Properties
Offset from the most stable computed form: 0.0 meV per atom
Total magnetic moment: 0.0 μB/f.u.
N(E_F): 0.622 states/eV/atom
Density: 8.251 g/cm³
Energy of formation from the pure elements: -2.2 eV per formula unit

Unit cell a=4.907 b=4.240 c=11.983 alpha=90.00 beta=90.00 gamma=90.00
Space group Amm2 (No. 38)
One atom of each set of equivalent atoms:
Sr 0.000 0.000 0.000 (multiplicity 2)
Ac 0.500 0.000 0.726 (multiplicity 2)
Ag 0.500 0.000 0.440 (multiplicity 2)
Au 0.000 0.000 0.280 (multiplicity 2)



Entry 6:
This record from the Alexandria database describes an optimized crystal structure of Sr2BeInAu6. The functional is PBE.

## Properties
Total magnetic moment: 0.0 μB/f.u.
N(E_F): 0.280 states/eV/atom
Density: 10.413 g/cm³
Energy of formation from the pure elements: -4.8 eV per formula unit

Unit cell a=6.566 b=6.584 c=7.342 alpha=63.42 beta=63.59 gamma=60.27
Space group P-1 (No. 2)
One atom of each set of equivalent atoms:
Sr 0.223 0.224 0.329 (multiplicity 2)
Be 0.000 0.000 0.000 (multiplicity 1)
In 0.500 0.500 0.500 (multiplicity 1)
Au 0.235 0.694 0.835 (multiplicity 2)
Au 0.236 0.235 0.836 (multiplicity 2)
Au 0.309 0.765 0.162 (multiplicity 2)



Entry 7:
This record from the Alexandria database describes an optimized crystal structure of TaPt4. The functional is PBE.

## Properties
Offset from the most stable computed form: 760.2 meV per atom
Total magnetic moment: 0.0 μB/f.u.
N(E_F): 0.360 states/eV/atom
Density: 15.894 g/cm³
Energy of formation from the pure elements: 1.0 eV per formula unit

Unit cell a=5.856 b=5.856 c=5.856 alpha=90.00 beta=90.00 gamma=90.00
Space group Im-3m (No. 229)
One atom of each set of equivalent atoms:
Ta 0.000 0.000 0.000 (multiplicity 2)
Pt 0.250 0.250 0.250 (multiplicity 8)



Entry 8:
This record from the Alexandria database describes an optimized crystal structure of Sm2DyLu. The functional is PBE.

## Properties
Offset from the most stable computed form: 0.0 meV per atom
Total magnetic moment: 0.0 μB/f.u.
N(E_F): 1.180 states/eV/atom
Density: 8.322 g/cm³
Energy of formation from the pure elements: 0.1 eV per formula unit

Unit cell a=3.5677 b=3.5677 c=34.6565 alpha=90.00 beta=90.00 gamma=120.00
Space group R-3m (No. 166, hexagonal axes)
One atom of each set of equivalent atoms:
Sm 0.0000 0.0000 0.2492 (multiplicity 6)
Dy 0.0000 0.0000 0.0000 (multiplicity 3)
Lu 0.0000 0.0000 0.5000 (multiplicity 3)



Entry 9:
This record from the Alexandria database describes an optimized crystal structure of LiCe3Th2P6. The functional is PBE.

## Properties
Total magnetic moment: 1.7 μB/f.u.
N(E_F): 1.213 states/eV/atom
Density: 6.093 g/cm³
Energy of formation from the pure elements: -15.7 eV per formula unit

Unit cell a=7.112 b=12.301 c=7.115 alpha=90.00 beta=109.39 gamma=90.00
Space group C2/m (No. 12)
One atom of each set of equivalent atoms:
Li 0.000 0.000 0.000 (multiplicity 2)
Ce 0.000 0.164 0.500 (multiplicity 4)
Ce 0.000 0.500 0.500 (multiplicity 2)
Th 0.000 0.333 0.000 (multiplicity 4)
P 0.247 0.332 0.746 (multiplicity 8)
P 0.248 0.500 0.254 (multiplicity 4)



Entry 10:
This record from the Alexandria database describes an optimized crystal structure of VZnCr. The functional is PBE.

## Properties
Offset from the most stable computed form: 30.7 meV per atom
Total magnetic moment: 0.8 μB/f.u.
N(E_F): 1.021 states/eV/atom
Density: 6.951 g/cm³
Energy of formation from the pure elements: 0.3 eV per formula unit

Unit cell a=3.058 b=3.058 c=8.603 alpha=90.00 beta=90.00 gamma=90.00
Space group I4mm (No. 107)
One atom of each set of equivalent atoms:
V 0.000 0.000 0.000 (multiplicity 2)
Zn 0.000 0.000 0.316 (multiplicity 2)
Cr 0.000 0.000 0.636 (multiplicity 2)



Entry 11:
This record from the Alexandria database describes an optimized crystal structure of Mn2MoPt. The functional is PBE.

## Properties
Total magnetic moment: 5.4 μB/f.u.
N(E_F): 0.793 states/eV/atom
Density: 11.508 g/cm³
Energy of formation from the pure elements: -0.4 eV per formula unit

Unit cell a=3.118 b=3.187 c=5.821 alpha=90.00 beta=90.00 gamma=90.00
Space group Pmmm (No. 47)
One atom of each set of equivalent atoms:
Mn 0.000 0.000 0.244 (multiplicity 2)
Mo 0.500 0.500 0.000 (multiplicity 1)
Pt 0.500 0.500 0.500 (multiplicity 1)



Entry 12:
This record from the Alexandria database describes an optimized crystal structure of NpNi4SnP2. The functional is PBE.

## Properties
Total magnetic moment: 3.4 μB/f.u.
N(E_F): 1.302 states/eV/atom
Density: 9.004 g/cm³
Energy of formation from the pure elements: -3.8 eV per formula unit

Unit cell a=3.685 b=3.685 c=8.858 alpha=90.00 beta=90.00 gamma=90.00
Space group P4/mmm (No. 123)
One atom of each set of equivalent atoms:
Np 0.000 0.000 0.000 (multiplicity 1)
Ni 0.000 0.500 0.286 (multiplicity 4)
Sn 0.000 0.000 0.500 (multiplicity 1)
P 0.500 0.500 0.143 (multiplicity 2)